1) {"formula": "HoPaHg", "functional": "PBE", "state": "relaxed", "lattice_angstrom": [[-2.400, -1.152, 1.892], [-1.772, -0.675, -2.659], [5.030, -5.688, 0.097]], "species": ["Pa", "Hg", "Ho"], "frac_coords": [[0.004, 0.004, 0.007], [0.670, 0.670, 0.341], [0.326, 0.326, 0.652]]}

2) {"formula": "HoPaHg", "functional": "PBE", "state": "relaxed", "lattice_angstrom": [[-2.432, -0.532, 2.169], [-2.344, -3.257, -3.427], [5.718, -6.532, 2.296]], "species": ["Hg", "Hg", "Ho", "Ho", "Pa", "Pa"], "frac_coords": [[0.565, 0.750, 0.130], [0.435, 0.250, 0.870], [0.909, 0.750, 0.819], [0.091, 0.250, 0.181], [0.232, 0.750, 0.464], [0.768, 0.250, 0.536]]}

Stability summary: most stable 2), least stable 1).

1) {"formula": "Ho2PaHg", "functional": "PBE", "state": "relaxed", "lattice_angstrom": [[3.450, 0.000, 0.000], [0.000, 3.450, 0.000], [0.000, 0.000, 8.877]], "species": ["Ho", "Ho", "Hg", "Pa"], "frac_coords": [[0.000, 0.000, 0.236], [0.000, 0.000, 0.764], [0.500, 0.500, 0.000], [0.500, 0.500, 0.500]]}

2) {"formula": "Ho2PaHg", "functional": "PBE", "state": "relaxed", "lattice_angstrom": [[-1.398, 2.210, 2.012], [-2.486, 1.879, -1.085], [-8.871, -6.631, 3.825]], "species": ["Ho", "Ho", "Pa", "Hg"], "frac_coords": [[0.907, 0.907, 0.279], [0.093, 0.093, 0.721], [0.000, 0.000, 0.000], [0.500, 0.500, 0.500]]}

Stability summary: most stable 1), least stable 2).

1) {"formula": "HoSnHgPb", "functional": "PBE", "state": "relaxed", "lattice_angstrom": [[-3.405, 1.662, -2.523], [-3.162, -1.728, 3.129], [0.184, 4.091, 2.446]], "species": ["Ho", "Pb", "Sn", "Hg"], "frac_coords": [[0.500, 0.000, 0.500], [0.000, 0.500, 0.500], [0.000, 0.000, 0.000], [0.500, 0.500, 0.000]]}

2) {"formula": "HoSnHgPb", "functional": "PBE", "state": "relaxed", "lattice_angstrom": [[-0.113, -4.636, 2.735], [4.474, -2.959, 0.469], [2.490, -0.380, 4.758]], "species": ["Hg", "Ho", "Sn", "Pb"], "frac_coords": [[0.750, 0.750, 0.750], [0.000, 0.000, 0.000], [0.250, 0.250, 0.250], [0.500, 0.500, 0.500]]}

Stability summary: most stable 1), least stable 2).

1) {"formula": "YHoHgPb", "functional": "PBE", "state": "relaxed", "lattice_angstrom": [[5.336, 0.000, 0.000], [2.668, 4.621, 0.000], [2.668, 1.540, 4.357]], "species": ["Ho", "Pb", "Hg", "Y"], "frac_coords": [[0.250, 0.250, 0.250], [0.000, 0.000, 0.000], [0.500, 0.500, 0.500], [0.750, 0.750, 0.750]]}

2) {"formula": "YHoHgPb", "functional": "PBE", "state": "relaxed", "lattice_angstrom": [[3.946, 0.000, 0.000], [0.000, 5.230, 0.000], [0.000, 0.000, 5.214]], "species": ["Ho", "Pb", "Y", "Hg"], "frac_coords": [[0.000, 0.500, 0.500], [0.500, 0.000, 0.500], [0.000, 0.000, 0.000], [0.500, 0.500, 0.000]]}

Stability summary: most stable 2), least stable 1).

1) {"formula": "Ho2HgPd4", "functional": "PBE", "state": "relaxed", "lattice_angstrom": [[4.994, 0.000, 0.000], [0.000, 4.994, 0.000], [-2.497, -2.497, 7.013]], "species": ["Pd", "Pd", "Pd", "Pd", "Ho", "Ho", "Hg"], "frac_coords": [[0.193, 0.193, 0.386], [0.807, 0.807, 0.614], [0.500, 0.000, 0.000], [0.000, 0.500, 0.000], [0.375, 0.375, 0.749], [0.625, 0.625, 0.251], [0.000, 0.000, 0.000]]}

2) {"formula": "Ho2HgPd4", "functional": "PBE", "state": "relaxed", "lattice_angstrom": [[3.945, 0.000, -0.989], [-0.248, 3.937, -0.989], [0.313, 0.333, 9.611]], "species": ["Ho", "Ho", "Pd", "Pd", "Pd", "Pd", "Hg"], "frac_coords": [[0.368, 0.368, 0.736], [0.632, 0.632, 0.264], [0.855, 0.855, 0.709], [0.145, 0.145, 0.291], [0.750, 0.250, 0.500], [0.250, 0.750, 0.500], [0.000, 0.000, 0.000]]}

Stability summary: most stable 2), least stable 1).

1) {"formula": "Ho2HgPd", "functional": "PBE", "state": "relaxed", "lattice_angstrom": [[5.091, 0.000, 0.000], [2.546, 4.409, 0.000], [2.546, 1.470, 4.157]], "species": ["Ho", "Ho", "Pd", "Hg"], "frac_coords": [[0.250, 0.250, 0.250], [0.750, 0.750, 0.750], [0.500, 0.500, 0.500], [0.000, 0.000, 0.000]]}

2) {"formula": "Ho2HgPd", "functional": "PBE", "state": "relaxed", "lattice_angstrom": [[3.568, 0.000, 0.000], [0.000, 3.568, 0.000], [0.000, 0.000, 7.333]], "species": ["Ho", "Ho", "Hg", "Pd"], "frac_coords": [[0.000, 0.000, 0.771], [0.000, 0.000, 0.229], [0.500, 0.500, 0.500], [0.500, 0.500, 0.000]]}

Stability summary: most stable 2), least stable 1).

1) {"formula": "SmHoHgPd", "functional": "PBE", "state": "relaxed", "lattice_angstrom": [[-1.071, -1.269, 4.881], [1.933, -4.331, 2.021], [3.684, 0.254, 3.597]], "species": ["Hg", "Ho", "Pd", "Sm"], "frac_coords": [[0.500, 0.500, 0.500], [0.250, 0.250, 0.250], [0.000, 0.000, 0.000], [0.750, 0.750, 0.750]]}

2) {"formula": "SmHoHgPd", "functional": "PBE", "state": "relaxed", "lattice_angstrom": [[-2.838, -2.188, -0.187], [2.181, -2.844, 0.167], [-0.523, 0.039, 7.495]], "species": ["Pd", "Sm", "Ho", "Hg"], "frac_coords": [[0.000, 0.000, 0.374], [0.500, 0.500, 0.126], [0.500, 0.500, 0.584], [0.000, 0.000, 0.844]]}

Stability summary: most stable 2), least stable 1).

1) {"formula": "HoTmHgPd", "functional": "PBE", "state": "relaxed", "lattice_angstrom": [[-5.039, -0.490, -0.256], [-2.186, -4.399, 1.254], [-2.732, -0.351, 4.256]], "species": ["Ho", "Tm", "Pd", "Hg"], "frac_coords": [[0.250, 0.250, 0.250], [0.750, 0.750, 0.750], [0.000, 0.000, 0.000], [0.500, 0.500, 0.500]]}

2) {"formula": "HoTmHgPd", "functional": "PBE", "state": "relaxed", "lattice_angstrom": [[3.547, 0.000, 0.000], [0.000, 3.547, 0.000], [0.000, 0.000, 7.325]], "species": ["Tm", "Ho", "Pd", "Hg"], "frac_coords": [[0.500, 0.500, 0.129], [0.500, 0.500, 0.586], [0.000, 0.000, 0.352], [0.000, 0.000, 0.861]]}

Stability summary: most stable 2), least stable 1).

1) {"formula": "Pm2HoHg", "functional": "PBE", "state": "relaxed", "lattice_angstrom": [[5.492, 0.000, 0.000], [2.746, 4.756, 0.000], [2.746, 1.585, 4.484]], "species": ["Pm", "Pm", "Hg", "Ho"], "frac_coords": [[0.750, 0.750, 0.750], [0.250, 0.250, 0.250], [0.500, 0.500, 0.500], [0.000, 0.000, 0.000]]}

2) {"formula": "Pm2HoHg", "functional": "PBE", "state": "relaxed", "lattice_angstrom": [[-1.076, -3.612, -3.587], [0.372, -3.712, 3.627], [-8.684, 0.845, 1.754]], "species": ["Hg", "Hg", "Ho", "Ho", "Pm", "Pm", "Pm", "Pm"], "frac_coords": [[0.500, 0.500, 0.000], [0.000, 0.000, 0.000], [0.500, 0.000, 0.782], [0.000, 0.500, 0.218], [0.000, 0.500, 0.779], [0.500, 0.500, 0.500], [0.000, 0.000, 0.500], [0.500, 0.000, 0.221]]}

3) {"formula": "Pm2HoHg", "functional": "PBE", "state": "relaxed", "lattice_angstrom": [[-1.873, 2.616, 1.471], [-1.530, -0.477, 3.153], [8.960, 4.834, 7.064]], "species": ["Pm", "Pm", "Ho", "Hg"], "frac_coords": [[0.089, 0.089, 0.734], [0.911, 0.911, 0.266], [0.500, 0.500, 0.500], [0.000, 0.000, 0.000]]}

4) {"formula": "Pm2HoHg", "functional": "PBE", "state": "relaxed", "lattice_angstrom": [[-1.225, 2.767, 2.113], [-3.453, -0.678, -1.114], [-1.080, -5.671, 6.800]], "species": ["Ho", "Hg", "Pm", "Pm"], "frac_coords": [[0.500, 0.500, 0.500], [0.500, 0.500, 0.000], [0.000, 0.000, 0.225], [0.000, 0.000, 0.775]]}

Stability summary: most stable 2), least stable 3).

1) {"formula": "Pm2HoHg", "functional": "PBE", "state": "relaxed", "lattice_angstrom": [[-2.336, 0.149, -2.871], [5.746, -2.020, -2.391], [-2.753, -9.877, 1.729]], "species": ["Pm", "Pm", "Pm", "Pm", "Hg", "Hg", "Ho", "Ho"], "frac_coords": [[0.370, 0.740, 0.541], [0.630, 0.260, 0.041], [0.630, 0.260, 0.459], [0.370, 0.740, 0.959], [0.246, 0.492, 0.250], [0.754, 0.508, 0.750], [0.952, 0.904, 0.250], [0.048, 0.096, 0.750]]}

2) {"formula": "Pm2HoHg", "functional": "PBE", "state": "relaxed", "lattice_angstrom": [[-3.619, 0.615, -0.351], [-2.411, -2.060, 1.882], [-1.616, 6.471, 8.626]], "species": ["Hg", "Pm", "Pm", "Ho"], "frac_coords": [[0.667, 0.667, 0.000], [0.256, 0.256, 0.232], [0.077, 0.077, 0.768], [0.500, 0.500, 0.500]]}

Stability summary: most stable 1), least stable 2).

1) {"formula": "Pm2HoHg2", "functional": "PBE", "state": "relaxed", "lattice_angstrom": [[-3.121, 2.226, -0.871], [-4.208, -3.256, 6.755], [3.104, 6.295, 4.967]], "species": ["Pm", "Pm", "Pm", "Pm", "Hg", "Hg", "Hg", "Hg", "Ho", "Ho"], "frac_coords": [[0.500, 0.167, 0.667], [0.500, 0.833, 0.333], [0.500, 0.333, 0.167], [0.500, 0.667, 0.833], [0.000, 0.868, 0.632], [0.000, 0.632, 0.132], [0.000, 0.132, 0.368], [0.000, 0.368, 0.868], [0.000, 0.500, 0.500], [0.000, 0.000, 0.000]]}

2) {"formula": "Pm2HoHg2", "functional": "PBE", "state": "relaxed", "lattice_angstrom": [[3.740, 0.000, -0.501], [0.000, 5.346, 0.000], [-0.014, 0.000, 14.093]], "species": ["Pm", "Pm", "Pm", "Pm", "Hg", "Hg", "Hg", "Hg", "Ho", "Ho"], "frac_coords": [[0.046, 0.750, 0.090], [0.954, 0.250, 0.910], [0.233, 0.750, 0.469], [0.767, 0.250, 0.531], [0.359, 0.250, 0.717], [0.641, 0.750, 0.283], [0.555, 0.250, 0.109], [0.445, 0.750, 0.891], [0.853, 0.750, 0.707], [0.147, 0.250, 0.293]]}

Stability summary: most stable 2), least stable 1).

1) {"formula": "Pm3HoHg", "functional": "PBE", "state": "relaxed", "lattice_angstrom": [[3.553, 0.000, -0.629], [-0.236, 8.172, -1.336], [0.139, -1.277, 11.138]], "species": ["Hg", "Hg", "Pm", "Pm", "Pm", "Pm", "Pm", "Pm", "Ho", "Ho"], "frac_coords": [[0.583, 0.613, 0.166], [0.417, 0.387, 0.834], [0.619, 0.043, 0.239], [0.381, 0.957, 0.761], [0.826, 0.549, 0.651], [0.013, 0.245, 0.027], [0.987, 0.755, 0.973], [0.174, 0.451, 0.349], [0.265, 0.178, 0.529], [0.735, 0.822, 0.471]]}

2) {"formula": "Pm3HoHg", "functional": "PBE", "state": "relaxed", "lattice_angstrom": [[-1.811, -4.933, -4.395], [-1.667, -1.452, 6.484], [-4.887, 7.356, 0.650]], "species": ["Pm", "Pm", "Pm", "Pm", "Pm", "Pm", "Hg", "Hg", "Ho", "Ho"], "frac_coords": [[0.735, 0.914, 0.145], [0.265, 0.086, 0.855], [0.230, 0.410, 0.145], [0.180, 0.555, 0.735], [0.820, 0.445, 0.265], [0.770, 0.590, 0.855], [0.262, 0.238, 0.501], [0.738, 0.762, 0.499], [0.319, 0.940, 0.258], [0.681, 0.060, 0.742]]}

Stability summary: most stable 2), least stable 1).